Record 1
InSi2As (PBE, relaxed); ΔE to the lowest computed polymorph = 373 meV per atom; theoretical density = 5.29 g/cm3; formation energy from raw total energies = 0.55 eV/atom
1.0
4.967 0.308 0.000
-0.925 4.890 0.000
0.000 0.000 3.141
As In Si
1 1 2
Direct
0.500 0.000 0.500
0.000 0.500 0.500
0.000 0.000 0.000
0.500 0.500 0.000

---

Record 2
InSi2As (PBE, relaxed); ΔE to the lowest computed polymorph = 338 meV per atom; theoretical density = 5.15 g/cm3; formation energy from raw total energies = 0.51 eV/atom
1.0
3.181 0.029 0.000
-1.125 2.976 0.000
0.000 0.000 8.342
As In Si
1 1 2
Direct
0.500 0.500 0.250
0.500 0.500 0.750
0.000 0.000 0.027
0.000 0.000 0.473

---

Record 3
InSiAs2 (PBE, relaxed); ΔE to the lowest computed polymorph = 205 meV per atom; theoretical density = 5.13 g/cm3; formation energy from raw total energies = 0.25 eV/atom
1.0
5.585 -0.011 0.276
4.476 3.340 0.276
2.307 0.763 5.196
As In Si
2 1 1
Direct
0.940 0.940 0.037
0.773 0.773 0.806
0.531 0.531 0.513
0.255 0.255 0.144

---

Record 4
InSi2As (PBE, relaxed); ΔE to the lowest computed polymorph = 346 meV per atom; theoretical density = 5.29 g/cm3; formation energy from raw total energies = 0.52 eV/atom
1.0
-4.387 1.895 -3.377
1.774 -5.527 -0.742
-2.301 -1.642 0.756
As In Si
1 1 2
Direct
0.500 0.000 0.500
0.000 0.500 0.500
0.000 0.000 0.000
0.500 0.500 0.000

---

Record 5
InSi2As (PBE, relaxed); ΔE to the lowest computed polymorph = 127 meV per atom; theoretical density = 5.02 g/cm3; formation energy from raw total energies = 0.30 eV/atom
1.0
7.215 -0.017 -0.010
6.279 3.554 -0.010
6.279 1.646 3.150
As In Si
1 1 2
Direct
0.250 0.250 0.250
0.750 0.750 0.750
0.988 0.988 0.988
0.512 0.512 0.512

---

Record 6
InSiAs2 (PBE, relaxed); ΔE to the lowest computed polymorph = 397 meV per atom; theoretical density = 6.01 g/cm3; formation energy from raw total energies = 0.44 eV/atom
1.0
-0.438 -3.887 2.709
0.942 -2.104 -4.162
3.285 3.113 1.468
As In Si
2 1 1
Direct
0.000 0.000 0.000
0.250 0.750 0.500
0.500 0.500 0.000
0.750 0.250 0.500

---

Record 7
InSiAs2 (PBE, relaxed); ΔE to the lowest computed polymorph = 356 meV per atom; theoretical density = 5.68 g/cm3; formation energy from raw total energies = 0.40 eV/atom
1.0
-0.860 2.151 -2.155
-2.414 -0.445 1.996
3.167 6.570 5.295
As In Si
2 1 1
Direct
0.000 0.000 0.951
0.500 0.500 0.266
0.000 0.000 0.512
0.500 0.500 0.772

---

Record 8
InSi2As (PBE, relaxed); ΔE to the lowest computed polymorph = 0 meV per atom; theoretical density = 4.10 g/cm3; formation energy from raw total energies = 0.17 eV/atom
1.0
-1.345 1.235 -5.595
-1.746 -5.562 -0.808
-6.872 -0.723 -1.603
As Si In
2 4 2
Direct
0.500 0.500 0.000
0.250 0.750 0.500
0.601 0.125 0.250
0.149 0.625 0.250
0.375 0.399 0.750
0.875 0.851 0.750
0.000 0.000 0.000
0.750 0.250 0.500

---

Record 9
InSiAs2 (PBE, relaxed); ΔE to the lowest computed polymorph = 24 meV per atom; theoretical density = 5.46 g/cm3; formation energy from raw total energies = 0.07 eV/atom
1.0
-2.685 -2.259 -1.206
2.436 -2.870 -0.047
-1.531 -1.398 6.030
As In Si
2 1 1
Direct
0.000 0.000 0.852
0.500 0.500 0.299
0.000 0.000 0.427
0.500 0.500 0.923

---

Record 10
InSiAs2 (PBE, relaxed); ΔE to the lowest computed polymorph = 255 meV per atom; theoretical density = 5.92 g/cm3; formation energy from raw total energies = 0.30 eV/atom
1.0
5.769 0.008 0.006
2.732 5.081 -0.006
-3.775 -3.339 2.807
As In Si
2 1 1
Direct
0.056 0.056 0.000
0.444 0.444 0.000
0.750 0.250 0.500
0.250 0.750 0.500

---

Record 11
InSiAs2 (PBE, relaxed); ΔE to the lowest computed polymorph = 296 meV per atom; theoretical density = 5.85 g/cm3; formation energy from raw total energies = 0.34 eV/atom
1.0
-0.273 -3.135 -0.366
2.766 0.814 1.314
-3.674 -0.627 8.121
As In Si
2 1 1
Direct
0.000 0.000 0.954
0.000 0.000 0.546
0.500 0.500 0.250
0.500 0.500 0.750

---

Record 12
InSiAs2 (PBE, relaxed); ΔE to the lowest computed polymorph = 372 meV per atom; theoretical density = 5.96 g/cm3; formation energy from raw total energies = 0.41 eV/atom
1.0
-3.901 -2.598 -2.350
3.499 -3.065 -2.420
-0.099 -1.908 2.273
As In Si
2 1 1
Direct
0.000 0.000 0.000
0.500 0.500 0.000
0.500 0.000 0.500
0.000 0.500 0.500

---

Record 13
InSi2As (PBE, relaxed); ΔE to the lowest computed polymorph = 357 meV per atom; theoretical density = 5.29 g/cm3; formation energy from raw total energies = 0.53 eV/atom
1.0
3.633 0.000 0.000
0.000 4.610 0.000
0.000 0.000 4.610
As In Si
1 1 2
Direct
0.500 0.500 0.000
0.500 0.000 0.500
0.000 0.000 0.000
0.000 0.500 0.500

---

Record 14
InSiAs2 (PBE, relaxed); ΔE to the lowest computed polymorph = 389 meV per atom; theoretical density = 5.91 g/cm3; formation energy from raw total energies = 0.43 eV/atom
1.0
-2.692 -1.398 -2.094
2.921 -1.282 -2.899
0.445 -4.537 2.455
As In Si
2 1 1
Direct
0.000 0.000 0.000
0.500 0.500 0.000
0.500 0.000 0.500
0.000 0.500 0.500

---

Record 15
InSiAs2 (PBE, relaxed); ΔE to the lowest computed polymorph = 179 meV per atom; theoretical density = 5.62 g/cm3; formation energy from raw total energies = 0.22 eV/atom
1.0
7.527 0.074 -0.016
5.862 4.721 0.016
-6.657 -2.501 2.466
As In Si
2 1 1
Direct
0.073 0.073 0.000
0.775 0.275 0.500
0.448 0.448 0.000
0.204 0.704 0.500

---

Record 16
InSi2As (PBE, relaxed); ΔE to the lowest computed polymorph = 360 meV per atom; theoretical density = 5.31 g/cm3; formation energy from raw total energies = 0.53 eV/atom
1.0
4.932 -0.422 0.000
1.261 4.787 0.000
-3.097 -2.182 3.186
As In Si
1 1 2
Direct
0.250 0.750 0.500
0.750 0.250 0.500
0.000 0.000 0.000
0.500 0.500 0.000

---

Record 17
InSiAs3 (PBE, relaxed); ΔE to the lowest computed polymorph = 719 meV per atom; theoretical density = 4.40 g/cm3; formation energy from raw total energies = 1.21 eV/atom
1.0
-0.241 4.749 -2.050
-2.093 1.787 4.387
4.730 1.033 1.837
As Si In
3 1 1
Direct
0.000 0.500 0.000
0.000 0.000 0.500
0.500 0.000 0.000
0.500 0.500 0.500
0.000 0.000 0.000

---

Record 18
In12Si3As5 (PBE, relaxed); theoretical density = 5.45 g/cm3; formation energy from raw total energies = 0.15 eV/atom
1.0
-5.230 -12.241 5.153
12.674 -2.435 -6.100
1.570 9.365 10.658
Si As In
12 20 48
Direct
0.750 0.375 0.125
0.875 0.750 0.125
0.375 0.750 0.625
0.250 0.125 0.375
0.875 0.125 0.250
0.375 0.625 0.250
0.625 0.375 0.750
0.125 0.875 0.750
0.750 0.875 0.625
0.625 0.250 0.375
0.125 0.250 0.875
0.250 0.625 0.875
0.125 0.375 0.250
0.000 0.500 0.000
0.000 0.000 0.000
0.375 0.250 0.125
0.500 0.000 0.500
0.500 0.500 0.000
0.125 0.750 0.375
0.750 0.125 0.875
0.750 0.625 0.375
0.375 0.125 0.750
0.625 0.875 0.250
0.500 0.500 0.500
0.500 0.000 0.000
0.000 0.000 0.500
0.250 0.375 0.625
0.250 0.875 0.125
0.000 0.500 0.500
0.875 0.250 0.625
0.625 0.750 0.875
0.875 0.625 0.750
0.731 0.137 0.060
0.329 0.560 0.423
0.940 0.363 0.269
0.560 0.231 0.137
0.594 0.731 0.671
0.940 0.577 0.171
0.329 0.769 0.406
0.077 0.906 0.137
0.577 0.940 0.671
0.731 0.594 0.171
0.769 0.440 0.363
0.829 0.923 0.060
0.137 0.731 0.560
0.363 0.423 0.094
0.094 0.923 0.363
0.406 0.137 0.577
0.094 0.171 0.231
0.440 0.671 0.077
0.829 0.906 0.269
0.137 0.406 0.077
0.363 0.940 0.769
0.577 0.637 0.406
0.923 0.829 0.560
0.769 0.329 0.906
0.423 0.363 0.594
0.077 0.171 0.440
0.231 0.671 0.094
0.171 0.094 0.731
0.637 0.060 0.231
0.863 0.594 0.923
0.560 0.329 0.923
0.594 0.863 0.423
0.906 0.829 0.769
0.906 0.077 0.637
0.863 0.269 0.440
0.171 0.077 0.940
0.637 0.577 0.906
0.423 0.060 0.329
0.269 0.406 0.829
0.231 0.560 0.637
0.923 0.094 0.863
0.671 0.231 0.594
0.440 0.769 0.863
0.060 0.423 0.829
0.406 0.269 0.329
0.060 0.637 0.731
0.671 0.440 0.577
0.269 0.863 0.940

---

Record 19
InSiAs2 (PBE, relaxed); ΔE to the lowest computed polymorph = 73 meV per atom; theoretical density = 5.62 g/cm3; formation energy from raw total energies = 0.12 eV/atom
1.0
-1.006 -0.473 -3.510
-1.063 -4.668 0.934
-4.939 -0.620 1.499
As In Si
2 1 1
Direct
0.000 0.998 0.934
0.000 0.502 0.566
0.500 0.250 0.250
0.500 0.750 0.750

---

Record 20
InSiAs2 (PBE, relaxed); ΔE to the lowest computed polymorph = 237 meV per atom; theoretical density = 5.59 g/cm3; formation energy from raw total energies = 0.28 eV/atom
1.0
5.303 -0.002 0.025
4.188 3.252 0.025
1.779 0.609 5.050
As In Si
2 1 1
Direct
0.952 0.952 0.101
0.548 0.548 0.399
0.750 0.750 0.750
0.250 0.250 0.250